Entry from the Alexandria database: a relaxed structure of KZn2Si (GGA-PBEsol).

The structure belongs to space group P4/mmm (No. 123); the cell edges are 4.541, 4.541 and 3.934 Å and the angles 90.00°, 90.00° and 90.00°. The asymmetric unit holds K at (0.000, 0.000, 0.000), Zn at (0.000, 0.500, 0.500) and Si at (0.500, 0.500, 0.000).

The total moment comes out at 0.00 μB per cell. The uncorrected formation energy comes out at 0.53 eV per atom.

Entry from the Alexandria database: a relaxed structure of KMgAg2 (GGA-PBEsol).

The structure belongs to space group Pmmm (No. 47); the cell edges are 3.200, 3.776 and 7.818 Å and the angles 90.00°, 90.00° and 90.00°. The asymmetric unit holds K at (0.000, 0.000, 0.000), Mg at (0.000, 0.000, 0.500) and Ag at (0.500, 0.500, 0.319).

The total moment comes out at 0.00 μB per cell. The formation energy is 0.03 eV/atom.

Entry from the Alexandria database: a relaxed structure of Ba2LiAg (GGA-PBEsol).

The structure belongs to space group Cm (No. 8); the cell edges are 13.563, 3.968 and 5.680 Å and the angles 90.00°, 114.09° and 90.00°. The asymmetric unit holds Ba at (0.000, 0.000, 0.000), Ba at (0.199, 0.000, 0.693), Li at (0.309, 0.500, 0.305) and Ag at (0.464, 0.000, 0.466).

The total moment comes out at 0.00 μB per cell. As for the energy above the lowest structure with this stoichiometry: 59 meV/atom. The formation energy is -0.04 eV/atom.